# 1
A geometry-optimized Ac2NdAuO5 structure, computed with PBE.

Lattice parameters (Å, degrees): 6.181 6.996 6.996 90.00 90.00 90.00
Element x y z (fractional)
Ac  0.500  0.662  0.162
Ac  0.500  0.162  0.338
Ac  0.500  0.838  0.662
Ac  0.500  0.338  0.838
Nd  0.000  0.500  0.500
Nd  0.000  0.000  0.000
Au  0.000  0.000  0.500
Au  0.000  0.500  0.000
O  0.500  0.500  0.500
O  0.500  0.000  0.000
O  0.228  0.181  0.681
O  0.228  0.819  0.319
O  0.228  0.319  0.181
O  0.228  0.681  0.819
O  0.772  0.181  0.681
O  0.772  0.681  0.819
O  0.772  0.819  0.319
O  0.772  0.319  0.181

Values from the calculation:
electronic total energy	-6.7937	eV/atom
M_tot	0.000	μB per atom

# 2
A geometry-optimized Ac2NdAuO6 structure, computed with PBE.

Lattice parameters (Å, degrees): 6.163 5.538 5.538 90.00 90.00 90.00
Element x y z (fractional)
Ac  0.002  0.500  0.000
Ac  0.002  0.000  0.500
Nd  0.535  0.500  0.500
Au  0.689  0.000  0.000
O  0.733  0.254  0.254
O  0.733  0.254  0.746
O  0.161  0.500  0.500
O  0.126  0.000  0.000
O  0.733  0.746  0.746
O  0.733  0.746  0.254

Values from the calculation:
electronic total energy	-6.9262	eV/atom
M_tot	0.000	μB per atom